Entry 1:
Density functional theory data (PBE) for Rb4Pm3NbS8 after structural relaxation.

Lattice parameters (Å, degrees): 9.0310 9.0310 9.0310 53.76 53.76 53.76
Atoms (fractional coordinates):
Rb 0.0000 0.0000 0.0000
Rb 0.0000 0.5000 0.5000
Rb 0.5000 0.0000 0.5000
Rb 0.5000 0.5000 0.0000
Pm 0.0000 0.0000 0.5000
Pm 0.0000 0.5000 0.0000
Pm 0.5000 0.0000 0.0000
Nb 0.5000 0.5000 0.5000
S 0.2333 0.2333 0.2333
S 0.2513 0.7196 0.7196
S 0.2804 0.2804 0.7487
S 0.2804 0.7487 0.2804
S 0.7196 0.2513 0.7196
S 0.7196 0.7196 0.2513
S 0.7487 0.2804 0.2804
S 0.7667 0.7667 0.7667

Summary:
* magnetic moment: 2.01 μB per formula unit
* crystal system: trigonal

=====

Entry 2:
Density functional theory data (PBE) for Rb3Pm3NbS8 after structural relaxation.

Lattice parameters (Å, degrees): 9.1405 9.1405 9.1405 52.52 52.52 52.52
Atoms (fractional coordinates):
Rb 0.0000 0.5000 0.5000
Rb 0.5000 0.0000 0.5000
Rb 0.5000 0.5000 0.0000
Pm 0.0000 0.0000 0.5000
Pm 0.0000 0.5000 0.0000
Pm 0.5000 0.0000 0.0000
Nb 0.5000 0.5000 0.5000
S 0.2327 0.2327 0.2327
S 0.2573 0.7130 0.7130
S 0.2870 0.2870 0.7427
S 0.2870 0.7427 0.2870
S 0.7130 0.2573 0.7130
S 0.7130 0.7130 0.2573
S 0.7427 0.2870 0.2870
S 0.7673 0.7673 0.7673

Summary:
* magnetic moment: 1.01 μB per formula unit
* crystal system: trigonal

=====

Entry 3:
Density functional theory data (PBE) for Rb3Pm3NbSe8 after structural relaxation.

Lattice parameters (Å, degrees): 9.5236 9.5236 9.5236 52.25 52.25 52.25
Atoms (fractional coordinates):
Rb 0.0000 0.5000 0.5000
Rb 0.5000 0.0000 0.5000
Rb 0.5000 0.5000 0.0000
Pm 0.0000 0.0000 0.5000
Pm 0.0000 0.5000 0.0000
Pm 0.5000 0.0000 0.0000
Nb 0.5000 0.5000 0.5000
Se 0.2340 0.2340 0.2340
Se 0.2563 0.7156 0.7156
Se 0.2844 0.2844 0.7437
Se 0.2844 0.7437 0.2844
Se 0.7156 0.2563 0.7156
Se 0.7156 0.7156 0.2563
Se 0.7437 0.2844 0.2844
Se 0.7660 0.7660 0.7660

Summary:
* magnetic moment: 1.01 μB per formula unit
* crystal system: trigonal

=====

Entry 4:
Density functional theory data (PBE) for PmNbRe4 after structural relaxation.

Lattice parameters (Å, degrees): 5.3506 5.3506 5.3506 60.00 60.00 60.00
Atoms (fractional coordinates):
Pm 0.0000 0.0000 0.0000
Nb 0.7500 0.7500 0.7500
Re 0.3753 0.3753 0.3753
Re 0.3753 0.3753 0.8740
Re 0.3753 0.8740 0.3753
Re 0.8740 0.3753 0.3753

Summary:
* formation enthalpy at 0 K: 62 meV/atom
* magnetic moment: 0.00 μB per formula unit
* crystal system: cubic

=====

Entry 5:
Density functional theory data (PBE) for PmNbRh2 after structural relaxation.

Lattice parameters (Å, degrees): 4.3663 4.3663 15.0145 90.00 90.00 120.00
Atoms (fractional coordinates):
Pm 0.0000 0.0000 0.0000
Pm 0.3333 0.6667 0.6667
Pm 0.6667 0.3333 0.3333
Nb 0.0000 0.0000 0.5000
Nb 0.3333 0.6667 0.1667
Nb 0.6667 0.3333 0.8333
Rh 0.0000 0.0000 0.2151
Rh 0.0000 0.0000 0.7849
Rh 0.3333 0.6667 0.4516
Rh 0.3333 0.6667 0.8817
Rh 0.6667 0.3333 0.1183
Rh 0.6667 0.3333 0.5484

Summary:
* formation enthalpy at 0 K: -400 meV/atom
* E above lowest polymorph: 61.9 meV per atom
* magnetic moment: 0.00 μB per formula unit
* crystal system: trigonal

=====

Entry 6:
Density functional theory data (PBE) for PmNbRh2 after structural relaxation.

Lattice parameters (Å, degrees): 4.9171 4.9171 3.0871 90.00 90.00 90.00
Atoms (fractional coordinates):
Pm 0.0000 0.0000 0.0000
Nb 0.5000 0.5000 0.0000
Rh 0.0000 0.5000 0.5000
Rh 0.5000 0.0000 0.5000

Summary:
* formation enthalpy at 0 K: -321 meV/atom
* E above lowest polymorph: 140.6 meV per atom
* magnetic moment: 0.00 μB per formula unit
* crystal system: tetragonal

=====

Entry 7:
Density functional theory data (PBE) for PmNbRh2 after structural relaxation.

Lattice parameters (Å, degrees): 3.2263 3.2263 7.3337 90.00 90.00 90.00
Atoms (fractional coordinates):
Pm 0.0000 0.0000 0.0000
Nb 0.0000 0.0000 0.5000
Rh 0.5000 0.5000 0.2998
Rh 0.5000 0.5000 0.7002

Summary:
* formation enthalpy at 0 K: -462 meV/atom
* E above lowest polymorph: 0.0 meV per atom
* magnetic moment: 0.00 μB per formula unit
* crystal system: tetragonal

=====

Entry 8:
Density functional theory data (PBE) for Pm2NbZn2Rh5 after structural relaxation.

Lattice parameters (Å, degrees): 9.9412 9.9412 3.5603 90.00 90.00 90.00
Atoms (fractional coordinates):
Pm 0.1722 0.3278 0.0000
Pm 0.3278 0.8278 0.0000
Pm 0.6722 0.1722 0.0000
Pm 0.8278 0.6722 0.0000
Nb 0.0000 0.0000 0.0000
Nb 0.5000 0.5000 0.0000
Zn 0.1252 0.6252 0.0000
Zn 0.3748 0.1252 0.0000
Zn 0.6252 0.8748 0.0000
Zn 0.8748 0.3748 0.0000
Rh 0.0000 0.5000 0.5000
Rh 0.0645 0.8012 0.5000
Rh 0.1988 0.0645 0.5000
Rh 0.3012 0.5645 0.5000
Rh 0.4355 0.3012 0.5000
Rh 0.5000 0.0000 0.5000
Rh 0.5645 0.6988 0.5000
Rh 0.6988 0.4355 0.5000
Rh 0.8012 0.9355 0.5000
Rh 0.9355 0.1988 0.5000

Summary:
* formation enthalpy at 0 K: -560 meV/atom
* magnetic moment: 0.00 μB per formula unit
* crystal system: tetragonal

=====

Entry 9:
Density functional theory data (PBE) for PmNbRu2 after structural relaxation.

Lattice parameters (Å, degrees): 6.6362 6.6362 6.6362 90.00 90.00 90.00
Atoms (fractional coordinates):
Pm 0.0000 0.0000 0.0000
Pm 0.0000 0.5000 0.5000
Pm 0.5000 0.0000 0.5000
Pm 0.5000 0.5000 0.0000
Nb 0.0000 0.0000 0.5000
Nb 0.0000 0.5000 0.0000
Nb 0.5000 0.0000 0.0000
Nb 0.5000 0.5000 0.5000
Ru 0.2500 0.2500 0.2500
Ru 0.2500 0.2500 0.7500
Ru 0.2500 0.7500 0.2500
Ru 0.2500 0.7500 0.7500
Ru 0.7500 0.2500 0.2500
Ru 0.7500 0.2500 0.7500
Ru 0.7500 0.7500 0.2500
Ru 0.7500 0.7500 0.7500

Summary:
* formation enthalpy at 0 K: -98 meV/atom
* E above lowest polymorph: 119.2 meV per atom
* magnetic moment: 0.00 μB per formula unit
* crystal system: cubic

=====

Entry 10:
Density functional theory data (PBE) for PmNbRu4 after structural relaxation.

Lattice parameters (Å, degrees): 5.2617 5.2617 5.2617 60.00 60.00 60.00
Atoms (fractional coordinates):
Pm 0.0000 0.0000 0.0000
Nb 0.2500 0.2500 0.2500
Ru 0.1259 0.6247 0.6247
Ru 0.6247 0.1259 0.6247
Ru 0.6247 0.6247 0.1259
Ru 0.6247 0.6247 0.6247

Summary:
* formation enthalpy at 0 K: -8 meV/atom
* magnetic moment: 0.00 μB per formula unit
* crystal system: cubic

=====

Entry 11:
Density functional theory data (PBE) for PmNbRu2 after structural relaxation.

Lattice parameters (Å, degrees): 4.7297 4.7297 3.2839 90.00 90.00 90.00
Atoms (fractional coordinates):
Pm 0.0000 0.0000 0.0000
Nb 0.5000 0.5000 0.0000
Ru 0.0000 0.5000 0.5000
Ru 0.5000 0.0000 0.5000

Summary:
* formation enthalpy at 0 K: -52 meV/atom
* E above lowest polymorph: 165.5 meV per atom
* magnetic moment: 0.00 μB per formula unit
* crystal system: tetragonal

=====

Entry 12:
Density functional theory data (PBE) for PmNbRu2 after structural relaxation.

Lattice parameters (Å, degrees): 3.2298 3.2298 7.1278 90.00 90.00 90.00
Atoms (fractional coordinates):
Pm 0.0000 0.0000 0.0000
Nb 0.0000 0.0000 0.5000
Ru 0.5000 0.5000 0.2902
Ru 0.5000 0.5000 0.7098

Summary:
* formation enthalpy at 0 K: -218 meV/atom
* E above lowest polymorph: 0.0 meV per atom
* magnetic moment: 0.00 μB per formula unit
* crystal system: tetragonal

=====

Entry 13:
Density functional theory data (PBE) for PmNb2Ru3 after structural relaxation.

Lattice parameters (Å, degrees): 3.1799 3.1799 10.6344 90.00 90.00 90.00
Atoms (fractional coordinates):
Pm 0.0000 0.0000 0.0000
Nb 0.0000 0.0000 0.3427
Nb 0.0000 0.0000 0.6573
Ru 0.5000 0.5000 0.2108
Ru 0.5000 0.5000 0.5000
Ru 0.5000 0.5000 0.7892

Summary:
* formation enthalpy at 0 K: -241 meV/atom
* magnetic moment: 0.00 μB per formula unit
* crystal system: tetragonal

=====

Entry 14:
Density functional theory data (PBE) for PmTaNbRu2 after structural relaxation.

Lattice parameters (Å, degrees): 4.3899 4.3899 10.7254 90.00 90.00 90.00
Atoms (fractional coordinates):
Pm 0.0000 0.0000 0.0000
Pm 0.5000 0.5000 0.5000
Ta 0.0000 0.5000 0.7500
Ta 0.5000 0.0000 0.2500
Nb 0.0000 0.5000 0.2500
Nb 0.5000 0.0000 0.7500
Ru 0.0000 0.0000 0.3788
Ru 0.0000 0.0000 0.6212
Ru 0.5000 0.5000 0.1212
Ru 0.5000 0.5000 0.8788

Summary:
* formation enthalpy at 0 K: -252 meV/atom
* magnetic moment: 0.00 μB per formula unit
* crystal system: tetragonal

=====

Entry 15:
Density functional theory data (PBE) for PmNb2S after structural relaxation.

Lattice parameters (Å, degrees): 3.5023 3.5023 25.3219 90.00 90.00 120.00
Atoms (fractional coordinates):
Pm 0.0000 0.0000 0.0000
Pm 0.3333 0.6667 0.6667
Pm 0.6667 0.3333 0.3333
Nb 0.0000 0.0000 0.1154
Nb 0.0000 0.0000 0.8846
Nb 0.3333 0.6667 0.5513
Nb 0.3333 0.6667 0.7820
Nb 0.6667 0.3333 0.2180
Nb 0.6667 0.3333 0.4487
S 0.0000 0.0000 0.5000
S 0.3333 0.6667 0.1667
S 0.6667 0.3333 0.8333

Summary:
* magnetic moment: 0.00 μB per formula unit
* crystal system: trigonal

=====

Entry 16:
Density functional theory data (PBE) for PmNbS4 after structural relaxation.

Lattice parameters (Å, degrees): 7.4432 7.4432 6.6742 106.28 106.28 50.17
Atoms (fractional coordinates):
Pm 0.2038 0.7962 0.7500
Pm 0.7962 0.2038 0.2500
Nb 0.0000 0.5000 0.0000
Nb 0.5000 0.0000 0.5000
S 0.1135 0.2111 0.6537
S 0.2111 0.1135 0.1537
S 0.3362 0.4705 0.0466
S 0.4705 0.3362 0.5466
S 0.5295 0.6638 0.4534
S 0.6638 0.5295 0.9534
S 0.7889 0.8865 0.8463
S 0.8865 0.7889 0.3463

Summary:
* magnetic moment: 0.00 μB per formula unit
* crystal system: monoclinic

=====

Entry 17:
Density functional theory data (PBE) for PmNb2S6 after structural relaxation.

Lattice parameters (Å, degrees): 6.4212 6.4212 8.4821 118.72 118.72 45.08
Atoms (fractional coordinates):
Pm 0.0000 0.0000 0.0000
Nb 0.1940 0.1940 0.5796
Nb 0.8060 0.8060 0.4204
S 0.0268 0.0268 0.6892
S 0.2953 0.2953 0.3880
S 0.3499 0.3499 0.9050
S 0.6501 0.6501 0.0950
S 0.7047 0.7047 0.6120
S 0.9732 0.9732 0.3108

Summary:
* magnetic moment: 0.00 μB per formula unit
* crystal system: monoclinic

=====

Entry 18:
Density functional theory data (PBE) for PmNbS2 after structural relaxation.

Lattice parameters (Å, degrees): 3.4957 3.4957 25.9426 90.00 90.00 120.00
Atoms (fractional coordinates):
Pm 0.0000 0.0000 0.0000
Pm 0.3333 0.6667 0.6667
Pm 0.6667 0.3333 0.3333
Nb 0.0000 0.0000 0.5000
Nb 0.3333 0.6667 0.1667
Nb 0.6667 0.3333 0.8333
S 0.0000 0.0000 0.1075
S 0.0000 0.0000 0.8925
S 0.3333 0.6667 0.5591
S 0.3333 0.6667 0.7742
S 0.6667 0.3333 0.2258
S 0.6667 0.3333 0.4409

Summary:
* magnetic moment: 0.00 μB per formula unit
* crystal system: trigonal

=====

Entry 19:
Density functional theory data (PBE) for PmNb6S8 after structural relaxation.

Lattice parameters (Å, degrees): 6.6591 6.6591 6.6591 87.62 87.62 87.62
Atoms (fractional coordinates):
Pm 0.0000 0.0000 0.0000
Nb 0.2027 0.5569 0.4091
Nb 0.4091 0.2027 0.5569
Nb 0.4431 0.5909 0.7973
Nb 0.5569 0.4091 0.2027
Nb 0.5909 0.7973 0.4431
Nb 0.7973 0.4431 0.5909
S 0.1312 0.3902 0.7562
S 0.2334 0.2334 0.2334
S 0.2438 0.8688 0.6098
S 0.3902 0.7562 0.1312
S 0.6098 0.2438 0.8688
S 0.7562 0.1312 0.3902
S 0.7666 0.7666 0.7666
S 0.8688 0.6098 0.2438

Summary:
* magnetic moment: 0.00 μB per formula unit
* crystal system: trigonal

=====

Entry 20:
Density functional theory data (PBE) for PmNbS3 after structural relaxation.

Lattice parameters (Å, degrees): 7.1753 7.1753 10.0680 123.63 123.63 29.42
Atoms (fractional coordinates):
Pm 0.0876 0.0876 0.4098
Pm 0.9124 0.9124 0.5902
Nb 0.2500 0.2500 0.8817
Nb 0.7500 0.7500 0.1183
S 0.1090 0.1090 0.9579
S 0.3237 0.3237 0.6950
S 0.3911 0.3911 0.3319
S 0.6089 0.6089 0.6681
S 0.6763 0.6763 0.3050
S 0.8910 0.8910 0.0421

Summary:
* magnetic moment: 0.00 μB per formula unit
* crystal system: monoclinic

=====

no.,total DFT energy (no corrections) (eV per formula unit)
1,-86.38
2,-84.39
3,-77.43
4,-64.24
5,-31.12
6,-30.81
7,-31.37
8,-64.47
9,-33.77
10,-51.97
11,-33.58
12,-34.24
13,-54.17
14,-46.49
15,-28.71
16,-38.16
17,-59.40
18,-26.45
19,-114.18
20,-34.64